Density functional theory data (PBE) for a relaxed structure of ZnReAu3.

Structure (POSCAR):
```
ZnReAu3
1.0
4.7391 0.0000 0.0000
0.0000 4.7391 0.0000
0.0000 0.0000 4.7391
Zn Au Re
1 3 1
Cartesian
0.0000 0.0000 0.0000 Zn
0.0000 0.0000 2.3695 Au
2.3695 0.0000 0.0000 Au
0.0000 2.3695 0.0000 Au
2.3695 2.3695 2.3695 Re
```

Computed properties:
Crystal system ... cubic
Relative energy among the computed polymorphs ... 31 meV/atom

Density functional theory data (PBE) for a relaxed structure of ZnReAu2.

Structure (POSCAR):
```
ZnReAu2
1.0
9.3752 -0.0104 -0.0061
8.9443 2.8095 -0.0061
8.9443 1.3666 2.4547
Au Zn Re
2 1 1
Cartesian
6.7298 1.0283 0.6029 Au
0.1214 0.0186 0.0109 Au
20.5062 3.1332 1.8371 Zn
13.5383 2.0686 1.2129 Re
```

Computed properties:
Crystal system ... trigonal

| no. | energy relative to the elements (eV/f.u.) |
| --- | --- |
| 1 | 6.6 |
| 2 | 0.9 |